! RbSrAcI6 | the Alexandria database | PBE | optimized geometry; values from VASP
&SYSTEM
  ibrav = 0, nat = 18, ntyp = 4
/
ATOMIC_SPECIES
Rb 85.47 Rb.upf
Sr 87.62 Sr.upf
Ac 227.00 Ac.upf
I 126.90 I.upf
CELL_PARAMETERS angstrom
8.530 0.000 0.000
-4.265 7.387 0.000
0.000 0.000 15.911
ATOMIC_POSITIONS angstrom
Rb 0.000 0.000 0.000
Rb 0.000 0.000 7.956
Sr 0.000 4.925 3.978
Sr 4.265 2.462 11.933
Ac 0.000 4.925 11.933
Ac 4.265 2.462 3.978
I -1.551 2.722 10.059
I -2.683 4.683 13.808
I 1.551 2.722 13.808
I -1.132 7.369 10.059
I 3.133 0.018 2.103
I 1.582 2.704 5.853
I 2.683 4.683 10.059
I 1.132 7.369 13.808
I 5.397 0.018 5.853
I 2.714 4.665 2.103
I 6.948 2.704 2.103
I 5.816 4.665 5.853
! N(E_F) = 0.000 states/eV/f.u.
! Formation energy without anion corrections = -1.597 eV/atom
! Volume = 55.7 Å³ per atom

=====

! RbAcTl2I6 | the Alexandria database | PBE | optimized geometry; values from VASP
&SYSTEM
  ibrav = 0, nat = 10, ntyp = 4
/
ATOMIC_SPECIES
Rb 85.47 Rb.upf
Ac 227.00 Ac.upf
Tl 204.38 Tl.upf
I 126.90 I.upf
CELL_PARAMETERS angstrom
4.437 2.562 7.853
-4.437 2.562 7.853
0.000 -5.124 7.853
ATOMIC_POSITIONS angstrom
Rb 0.000 0.000 0.000
Ac 0.000 0.000 11.507
Tl 0.000 0.000 6.901
Tl 0.000 0.000 18.923
I -2.528 -0.155 9.398
I -1.579 -2.305 13.215
I 1.398 -2.112 9.398
I -1.207 2.520 13.215
I 1.130 2.266 9.398
I 2.785 -0.215 13.215
! N(E_F) = 0.000 states/eV/f.u.
! Formation energy without anion corrections = -1.188 eV/atom
! Volume = 53.6 Å³ per atom

=====

! Ac3Rh2I | the Alexandria database | PBE | optimized geometry; values from VASP
&SYSTEM
  ibrav = 0, nat = 12, ntyp = 3
/
ATOMIC_SPECIES
Ac 227.00 Ac.upf
Rh 102.91 Rh.upf
I 126.90 I.upf
CELL_PARAMETERS angstrom
2.347 -8.395 0.000
2.347 8.395 0.000
0.000 0.000 10.617
ATOMIC_POSITIONS angstrom
Ac 2.347 6.825 7.962
Ac 2.347 1.842 5.863
Ac 2.347 1.842 10.062
Ac 2.347 -1.842 0.554
Ac 2.347 -1.842 4.754
Ac 2.347 -6.825 2.654
Rh 0.000 0.000 0.000
Rh 0.000 0.000 5.308
Rh 2.347 0.128 2.654
Rh 2.347 -0.128 7.962
I 2.347 4.509 2.654
I 2.347 -4.509 7.962
! N(E_F) = 3.689 states/eV/f.u.
! Formation energy without anion corrections = -0.644 eV/atom
! Volume = 34.9 Å³ per atom

=====

! Ac6Rh3I2 | the Alexandria database | PBE | optimized geometry; values from VASP
&SYSTEM
  ibrav = 0, nat = 11, ntyp = 3
/
ATOMIC_SPECIES
Ac 227.00 Ac.upf
Rh 102.91 Rh.upf
I 126.90 I.upf
CELL_PARAMETERS angstrom
3.780 -6.555 0.000
3.780 6.555 0.000
-2.528 0.000 8.653
ATOMIC_POSITIONS angstrom
Ac -0.009 2.184 7.060
Ac 1.259 0.000 1.590
Ac -0.009 -2.184 7.060
Ac 5.042 2.184 1.593
Ac 3.774 0.000 7.063
Ac 5.042 -2.184 1.593
Rh 3.780 4.341 0.000
Rh 3.780 0.000 0.000
Rh 3.780 -4.341 0.000
I 2.516 2.183 4.326
I 2.516 -2.183 4.326
! N(E_F) = 5.549 states/eV/f.u.
! Formation energy without anion corrections = -0.866 eV/atom
! Volume = 39.0 Å³ per atom

=====

! AcRhI2 | the Alexandria database | PBE | optimized geometry; values from VASP
&SYSTEM
  ibrav = 0, nat = 4, ntyp = 3
/
ATOMIC_SPECIES
Ac 227.00 Ac.upf
Rh 102.91 Rh.upf
I 126.90 I.upf
CELL_PARAMETERS angstrom
2.071 1.195 9.911
-2.071 1.195 9.911
0.000 -2.391 9.911
ATOMIC_POSITIONS angstrom
Ac 0.000 0.000 0.000
Rh 0.000 0.000 14.866
I 0.000 0.000 12.276
I 0.000 0.000 17.457
! N(E_F) = 4.928 states/eV/f.u.
! Formation energy without anion corrections = -0.164 eV/atom
! Volume = 36.8 Å³ per atom

=====

! Ac7RhI12 | the Alexandria database | PBE | optimized geometry; values from VASP
&SYSTEM
  ibrav = 0, nat = 20, ntyp = 3
/
ATOMIC_SPECIES
Ac 227.00 Ac.upf
Rh 102.91 Rh.upf
I 126.90 I.upf
CELL_PARAMETERS angstrom
8.449 4.878 4.081
-8.449 4.878 4.081
0.000 -9.756 4.081
ATOMIC_POSITIONS angstrom
Ac 0.000 0.000 0.000
Ac -1.674 -1.794 4.447
Ac -0.716 2.347 4.447
Ac 2.391 -0.553 4.447
Ac -2.391 0.553 7.795
Ac 0.716 -2.347 7.795
Ac 1.674 1.794 7.795
Rh 0.000 0.000 6.121
I -2.512 0.617 2.023
I 0.721 -2.484 2.023
I -4.662 -1.162 5.907
I -1.325 -4.619 6.335
I 1.791 1.867 2.023
I -3.338 3.457 6.335
I 3.338 -3.457 5.907
I -1.791 -1.867 10.219
I 1.325 4.619 5.907
I 4.662 1.162 6.335
I -0.721 2.484 10.219
I 2.512 -0.617 10.219
! N(E_F) = 5.341 states/eV/f.u.
! Formation energy without anion corrections = -1.331 eV/atom
! Volume = 50.5 Å³ per atom

=====

Question: What is the formation energy without anion corrections in the sixth record?
Answer: -1.331 eV/atom